# 1
This record from Alexandria describes a relaxed structure of Tm4MgCu3. The functional is GGA-PBE.

Summary:
Space-group type   Pmmm (47)

Lattice parameters (Å, degrees): 3.494 4.966 9.834 90.00 90.00 90.00
Element x y z (fractional)
Cu  0.500  0.000  0.759
Cu  0.500  0.000  0.241
Cu  0.500  0.500  0.500
Mg  0.500  0.500  0.000
Tm  0.000  0.000  0.500
Tm  0.000  0.000  0.000
Tm  0.000  0.500  0.734
Tm  0.000  0.500  0.266

=====

# 2
This record from Alexandria describes a relaxed structure of Tm5MgCu4. The functional is GGA-PBE.

Summary:
Space-group type   P4/mmm (123)

Lattice parameters (Å, degrees): 3.411 3.411 18.318 90.00 90.00 90.00
Element x y z (fractional)
Cu  0.000  0.000  0.785
Cu  0.000  0.000  0.593
Cu  0.000  0.000  0.215
Cu  0.000  0.000  0.407
Tm  0.500  0.500  0.500
Tm  0.500  0.500  0.127
Tm  0.500  0.500  0.688
Tm  0.500  0.500  0.873
Tm  0.500  0.500  0.312
Mg  0.000  0.000  0.000

=====

# 3
This record from Alexandria describes a relaxed structure of TmMg2Cu. The functional is GGA-PBE.

Summary:
Space-group type   P4/mmm (123)

Lattice parameters (Å, degrees): 4.888 4.171 4.171 90.00 90.00 90.00
Element x y z (fractional)
Cu  0.500  0.500  0.500
Mg  0.000  0.000  0.500
Mg  0.000  0.500  0.000
Tm  0.500  0.000  0.000

=====

# 4
This record from Alexandria describes a relaxed structure of TmMg4Cu2. The functional is GGA-PBE.

Summary:
Space-group type   Cmmm (65)

Lattice parameters (Å, degrees): 4.145 4.168 8.462 104.26 90.00 90.00
Element x y z (fractional)
Mg  0.500  0.826  0.652
Mg  0.000  0.325  0.651
Mg  0.000  0.675  0.349
Mg  0.500  0.174  0.348
Cu  0.500  0.428  0.856
Cu  0.500  0.572  0.144
Tm  0.000  0.000  0.000

=====

no.,magnetic moment (μB per atom),E_tot (eV/cell)
1,0.000,-33.300
2,0.000,-42.776
3,0.000,-11.857
4,0.000,-19.615